Record 1
# GGA-PBE Pm6DyEr, optimized geometry
data_Pm6DyEr
_chemical_formula_sum 'Pm6 Dy1 Er1'
_symmetry_space_group_name_H-M 'P 1'
_symmetry_Int_Tables_number 1
_cell_length_a 5.1150
_cell_length_b 5.1150
_cell_length_c 10.2293
_cell_angle_alpha 90.00
_cell_angle_beta 90.00
_cell_angle_gamma 90.00
loop_
_symmetry_equiv_pos_as_xyz
'x,y,z'
loop_
_atom_site_label
_atom_site_fract_x
_atom_site_fract_y
_atom_site_fract_z
Pm1 0.5000 0.5000 0.0000
Pm2 0.5000 0.5000 0.5000
Pm3 0.5000 0.0000 0.2507
Pm4 0.5000 0.0000 0.7493
Pm5 0.0000 0.5000 0.2507
Pm6 0.0000 0.5000 0.7493
Dy1 0.0000 0.0000 0.0000
Er1 0.0000 0.0000 0.5000
# Magnetic moment (μB/cell): 0.000
# DFT total energy (eV for the cell shown): -37.536

Record 2
# GGA-PBE Pm7DyEr3, optimized geometry
data_Pm7DyEr3
_chemical_formula_sum 'Pm14 Dy2 Er6'
_symmetry_space_group_name_H-M 'P 1'
_symmetry_Int_Tables_number 1
_cell_length_a 10.2039
_cell_length_b 10.2040
_cell_length_c 12.5056
_cell_angle_alpha 65.75
_cell_angle_beta 114.25
_cell_angle_gamma 138.82
loop_
_symmetry_equiv_pos_as_xyz
'x,y,z'
loop_
_atom_site_label
_atom_site_fract_x
_atom_site_fract_y
_atom_site_fract_z
Pm1 0.1650 0.8461 0.2742
Pm2 0.1538 0.8350 0.7742
Pm3 0.0834 0.4196 0.4707
Pm4 0.0852 0.4203 0.9720
Pm5 0.5804 0.9166 0.9707
Pm6 0.5797 0.9148 0.4720
Pm7 0.2786 0.2786 0.7500
Pm8 0.7214 0.7214 0.2500
Pm9 0.4196 0.0834 0.0293
Pm10 0.4203 0.0852 0.5280
Pm11 0.9148 0.5797 0.0280
Pm12 0.9166 0.5804 0.5293
Pm13 0.8462 0.1650 0.2258
Pm14 0.8350 0.1539 0.7258
Dy1 0.5000 0.5000 0.0000
Dy2 0.5000 0.5000 0.5000
Er1 0.3276 0.6676 0.7248
Er2 0.0000 0.0000 0.0000
Er3 0.0000 0.0000 0.5000
Er4 0.3324 0.6724 0.2248
Er5 0.6676 0.3276 0.7752
Er6 0.6724 0.3324 0.2752
# ΔE to the lowest computed polymorph (eV per atom): 0.000
# Magnetic moment (μB/cell): 0.000

Record 3
# GGA-PBE Pm4Dy5Er4, optimized geometry
data_Pm4Dy5Er4
_chemical_formula_sum 'Pm4 Dy5 Er4'
_symmetry_space_group_name_H-M 'P 1'
_symmetry_Int_Tables_number 1
_cell_length_a 5.0280
_cell_length_b 9.4361
_cell_length_c 9.4361
_cell_angle_alpha 85.93
_cell_angle_beta 74.55
_cell_angle_gamma 74.55
loop_
_symmetry_equiv_pos_as_xyz
'x,y,z'
loop_
_atom_site_label
_atom_site_fract_x
_atom_site_fract_y
_atom_site_fract_z
Pm1 0.9220 0.4606 0.6955
Pm2 0.6175 0.3045 0.4606
Pm3 0.0780 0.5394 0.3045
Pm4 0.3825 0.6955 0.5394
Dy1 0.6900 0.8493 0.7707
Dy2 0.3100 0.1507 0.2293
Dy3 0.0000 0.0000 0.0000
Dy4 0.5393 0.7707 0.1507
Dy5 0.4607 0.2293 0.8493
Er1 0.7701 0.3833 0.0764
Er2 0.2299 0.6167 0.9236
Er3 0.8466 0.9236 0.3833
Er4 0.1534 0.0764 0.6167
# Magnetic moment (μB/cell): 0.001
# DFT total energy (eV for the cell shown): -60.025

Record 4
# GGA-PBE Pm2Dy12Er5, optimized geometry
data_Pm2Dy12Er5
_chemical_formula_sum 'Pm2 Dy12 Er5'
_symmetry_space_group_name_H-M 'P 1'
_symmetry_Int_Tables_number 1
_cell_length_a 9.1929
_cell_length_b 12.3598
_cell_length_c 8.4981
_cell_angle_alpha 132.56
_cell_angle_beta 90.00
_cell_angle_gamma 111.83
loop_
_symmetry_equiv_pos_as_xyz
'x,y,z'
loop_
_atom_site_label
_atom_site_fract_x
_atom_site_fract_y
_atom_site_fract_z
Pm1 0.6823 0.0000 0.0000
Pm2 0.3177 0.0000 0.0000
Dy1 0.0933 0.1866 0.3037
Dy2 0.0246 0.6871 0.9305
Dy3 0.6625 0.6871 0.9305
Dy4 0.1817 0.7474 0.4020
Dy5 0.5657 0.7474 0.4020
Dy6 0.5585 0.1170 0.7861
Dy7 0.4415 0.8830 0.2139
Dy8 0.8183 0.2526 0.5980
Dy9 0.4343 0.2526 0.5980
Dy10 0.9754 0.3129 0.0695
Dy11 0.3375 0.3129 0.0695
Dy12 0.9067 0.8134 0.6963
Er1 0.3027 0.6054 0.6154
Er2 0.2317 0.4635 0.8880
Er3 0.0000 0.0000 0.5000
Er4 0.7683 0.5365 0.1120
Er5 0.6973 0.3946 0.3846
# ΔE to the lowest computed polymorph (eV per atom): 0.113
# Magnetic moment (μB/cell): 0.000

Record 5
# GGA-PBE Pm4Dy4Er3, optimized geometry
data_Pm4Dy4Er3
_chemical_formula_sum 'Pm4 Dy4 Er3'
_symmetry_space_group_name_H-M 'P 1'
_symmetry_Int_Tables_number 1
_cell_length_a 3.6013
_cell_length_b 9.3758
_cell_length_c 11.9320
_cell_angle_alpha 113.13
_cell_angle_beta 98.68
_cell_angle_gamma 90.00
loop_
_symmetry_equiv_pos_as_xyz
'x,y,z'
loop_
_atom_site_label
_atom_site_fract_x
_atom_site_fract_y
_atom_site_fract_z
Pm1 0.6440 0.4656 0.2879
Pm2 0.3560 0.1776 0.7121
Pm3 0.3560 0.5344 0.7121
Pm4 0.6440 0.8224 0.2879
Dy1 0.7398 0.2398 0.4795
Dy2 0.2602 0.7602 0.5205
Dy3 0.5000 0.8170 0.0000
Dy4 0.5000 0.1830 0.0000
Er1 0.8927 0.8927 0.7854
Er2 0.1073 0.1073 0.2146
Er3 0.0000 0.5000 0.0000
# ΔE to the lowest computed polymorph (eV per atom): 0.061
# Magnetic moment (μB/cell): 0.000

Record 6
# GGA-PBE Pm3Dy2Er6, optimized geometry
data_Pm3Dy2Er6
_chemical_formula_sum 'Pm3 Dy2 Er6'
_symmetry_space_group_name_H-M 'P 1'
_symmetry_Int_Tables_number 1
_cell_length_a 4.7259
_cell_length_b 4.7259
_cell_length_c 16.8938
_cell_angle_alpha 98.04
_cell_angle_beta 98.04
_cell_angle_gamma 90.00
loop_
_symmetry_equiv_pos_as_xyz
'x,y,z'
loop_
_atom_site_label
_atom_site_fract_x
_atom_site_fract_y
_atom_site_fract_z
Pm1 0.0000 0.0000 0.0000
Pm2 0.7968 0.7968 0.5936
Pm3 0.2032 0.2032 0.4064
Dy1 0.4538 0.4538 0.9075
Dy2 0.5462 0.5462 0.0925
Er1 0.1208 0.6208 0.2416
Er2 0.6208 0.1208 0.2416
Er3 0.8792 0.3792 0.7584
Er4 0.3792 0.8792 0.7584
Er5 0.6931 0.6931 0.3861
Er6 0.3069 0.3069 0.6139
# ΔE to the lowest computed polymorph (eV per atom): 0.118
# Magnetic moment (μB/cell): 0.001